No. 1
VASP calculation (PBE-GGA) on an optimized crystal structure of LaSn2Pd.

For the density of states at the Fermi level, the calculation gives 2.546 states/eV per cell. The calculation puts the energy relative to the elements at -0.590 eV/atom. As for the magnetization: 0.0 μB per cell.

Cell lengths 4.7176, 4.5719, 4.5719 Å; angles 90.00, 90.00, 90.00 degrees
Fractional positions:
Sn  0.0000  0.0000  0.5000
Sn  0.0000  0.5000  0.0000
Pd  0.5000  0.0000  0.0000
La  0.5000  0.5000  0.5000

No. 2
VASP calculation (PBE-GGA) on an optimized crystal structure of SrZnGe2Pd.

For the density of states at the Fermi level, the calculation gives 2.381 states/eV per cell. The calculation puts the energy relative to the elements at -0.550 eV/atom. As for the magnetization: 0.0 μB per cell.

Cell lengths 4.3431, 4.3431, 6.1917 Å; angles 110.53, 110.53, 90.00 degrees
Fractional positions:
Sr  0.0000  0.0000  0.0000
Zn  0.2500  0.7500  0.5000
Ge  0.6196  0.6196  0.2393
Ge  0.3804  0.3804  0.7607
Pd  0.7500  0.2500  0.5000

No. 3
VASP calculation (PBE-GGA) on an optimized crystal structure of CaSmSnRh.

For the density of states at the Fermi level, the calculation gives 2.372 states/eV per cell. The calculation puts the energy relative to the elements at -0.526 eV/atom. As for the magnetization: 0.0 μB per cell.

Cell lengths 5.1664, 5.1664, 5.1664 Å; angles 60.00, 60.00, 60.00 degrees
Fractional positions:
Ca  0.5000  0.5000  0.5000
Rh  0.7500  0.7500  0.7500
Sn  0.2500  0.2500  0.2500
Sm  0.0000  0.0000  0.0000

No. 4
VASP calculation (PBE-GGA) on an optimized crystal structure of PmLuCu.

For the density of states at the Fermi level, the calculation gives 3.556 states/eV per cell. The calculation puts the energy relative to the elements at 0.052 eV/atom. For the distance to the lowest polymorph of the same formula, the calculation gives 17.58 kJ per mole of atoms. As for the magnetization: 0.0 μB per cell.

Cell lengths 4.8547, 4.8547, 4.8547 Å; angles 60.00, 60.00, 60.00 degrees
Fractional positions:
Lu  0.0000  0.0000  0.0000
Cu  0.2500  0.2500  0.2500
Pm  0.5000  0.5000  0.5000

No. 5
VASP calculation (PBE-GGA) on an optimized crystal structure of RbCd4Pt2.

For the density of states at the Fermi level, the calculation gives 4.976 states/eV per cell. The calculation puts the energy relative to the elements at -0.213 eV/atom. As for the magnetization: 0.0 μB per cell.

Cell lengths 4.3488, 8.7490, 8.7490 Å; angles 90.00, 90.00, 90.00 degrees
Fractional positions:
Rb  0.5000  0.0000  0.0000
Rb  0.0000  0.5000  0.5000
Cd  0.0000  0.0796  0.3312
Cd  0.0000  0.9204  0.6688
Cd  0.5000  0.1688  0.5796
Cd  0.5000  0.8312  0.4204
Cd  0.5000  0.4204  0.8312
Cd  0.5000  0.5796  0.1688
Cd  0.0000  0.3312  0.0796
Cd  0.0000  0.6688  0.9204
Pt  0.0000  0.2271  0.7729
Pt  0.0000  0.7729  0.2271
Pt  0.5000  0.7271  0.7271
Pt  0.5000  0.2729  0.2729

No. 6
VASP calculation (PBE-GGA) on an optimized crystal structure of Al2In.

For the density of states at the Fermi level, the calculation gives 3.103 states/eV per cell. The calculation puts the energy relative to the elements at 0.145 eV/atom. As for the magnetization: 0.0 μB per cell.

Cell lengths 5.7375, 5.7375, 7.3641 Å; angles 87.40, 87.40, 30.95 degrees
Fractional positions:
Al  0.9589  0.9589  0.0497
Al  0.3346  0.3346  0.3160
Al  0.7278  0.7278  0.5936
Al  0.5997  0.5997  0.2848
In  0.9883  0.9883  0.6449
In  0.2241  0.2241  0.9442

No. 7
VASP calculation (PBE-GGA) on an optimized crystal structure of Tb2Al4PtAu3.

For the density of states at the Fermi level, the calculation gives 5.786 states/eV per cell. The calculation puts the energy relative to the elements at -0.802 eV/atom. As for the magnetization: 0.0 μB per cell.

Cell lengths 4.3121, 4.3121, 10.5280 Å; angles 90.00, 90.00, 90.00 degrees
Fractional positions:
Tb  0.5000  0.0000  0.2535
Tb  0.0000  0.5000  0.7465
Al  0.5000  0.5000  0.0000
Al  0.0000  0.0000  0.0000
Al  0.5000  0.0000  0.6273
Al  0.0000  0.5000  0.3727
Pt  0.5000  0.5000  0.5000
Au  0.0000  0.0000  0.5000
Au  0.5000  0.0000  0.8630
Au  0.0000  0.5000  0.1370

No. 8
VASP calculation (PBE-GGA) on an optimized crystal structure of CeUPa2.

For the density of states at the Fermi level, the calculation gives 9.299 states/eV per cell. The calculation puts the energy relative to the elements at 0.124 eV/atom. For the distance to the lowest polymorph of the same formula, the calculation gives 0.00 kJ per mole of atoms. As for the magnetization: 1.4 μB per cell.

Cell lengths 3.2407, 3.2407, 9.3344 Å; angles 90.00, 90.00, 90.00 degrees
Site moments in Bohr magnetons follow the coordinates.
Fractional positions:
Pa  0.0000  0.0000  0.7568  0.02
Pa  0.0000  0.0000  0.2432  0.02
U  0.5000  0.5000  0.0000  1.41
Ce  0.5000  0.5000  0.5000  -0.06

No. 9
VASP calculation (PBE-GGA) on an optimized crystal structure of Y3AlN.

For the density of states at the Fermi level, the calculation gives 9.244 states/eV per cell. Its raw formation energy is -3.6 eV per formula unit. As for the magnetization: 0.0 μB per cell.

Cell lengths 12.6747, 8.7882, 8.7882 Å; angles 83.65, 126.02, 53.98 degrees
Fractional positions:
Y  0.4007  0.4145  0.4471
Y  0.0993  0.9471  0.9145
Y  0.5993  0.5855  0.5529
Y  0.9007  0.0529  0.0855
Y  0.0901  0.2267  0.1686
Y  0.4099  0.6686  0.7267
Y  0.9099  0.7733  0.8314
Y  0.5901  0.3314  0.2733
Y  0.5725  0.8729  0.8204
Y  0.9275  0.3204  0.3729
Y  0.4275  0.1271  0.1796
Y  0.0725  0.6796  0.6271
Al  0.0530  0.5483  0.3108
Al  0.4470  0.8108  0.0483
Al  0.9470  0.4517  0.6892
Al  0.5530  0.1892  0.9517
N  0.7500  0.1847  0.6847
N  0.2500  0.8153  0.3153
N  0.7500  0.4538  0.9538
N  0.2500  0.5462  0.0462

No. 10
VASP calculation (PBE-GGA) on an optimized crystal structure of CuSiBr2.

For the density of states at the Fermi level, the calculation gives 0.921 states/eV per cell. For the distance to the lowest polymorph of the same formula, the calculation gives 0.00 kJ per mole of atoms. Its raw formation energy is -0.4 eV per formula unit. As for the magnetization: 0.0 μB per cell.

Cell lengths 7.7605, 7.7605, 5.0066 Å; angles 66.21, 66.21, 26.77 degrees
Fractional positions:
Br  0.0072  0.0072  0.0081
Br  0.2601  0.2601  0.2766
Cu  0.3515  0.3515  0.7622
Si  0.8813  0.8813  0.4531

No. 11
VASP calculation (PBE-GGA) on an optimized crystal structure of Ca2NiRh.

For the density of states at the Fermi level, the calculation gives 3.066 states/eV per cell. The calculation puts the energy relative to the elements at 0.103 eV/atom. As for the magnetization: 0.0 μB per cell.

Cell lengths 3.1720, 4.5320, 5.8119 Å; angles 90.00, 90.00, 90.00 degrees
Fractional positions:
Ni  0.0000  0.0000  0.4706
Ca  0.0000  0.0000  0.9322
Ca  0.5000  0.5000  0.3148
Rh  0.5000  0.5000  0.7824

No. 12
VASP calculation (PBE-GGA) on an optimized crystal structure of Ir2PtBr.

For the density of states at the Fermi level, the calculation gives 6.141 states/eV per cell. For the distance to the lowest polymorph of the same formula, the calculation gives 6.23 kJ per mole of atoms. Its raw formation energy is 2.3 eV per formula unit. As for the magnetization: 0.0 μB per cell.

Cell lengths 9.9241, 9.9241, 9.9241 Å; angles 16.46, 16.46, 16.46 degrees
Fractional positions:
Ir  0.9915  0.9915  0.9915
Ir  0.2548  0.2548  0.2548
Br  0.7420  0.7420  0.7420
Pt  0.5118  0.5118  0.5118

No. 13
VASP calculation (PBE-GGA) on an optimized crystal structure of Ho8Ge3Te4Se.

For the density of states at the Fermi level, the calculation gives 3.375 states/eV per cell. Its raw formation energy is -20.8 eV per formula unit. As for the magnetization: 0.0 μB per cell.

Cell lengths 8.4239, 8.5457, 8.4238 Å; angles 119.53, 120.00, 90.00 degrees
Fractional positions:
Ho  0.2443  0.7203  0.9760
Ho  0.2443  0.7203  0.4886
Ho  0.2599  0.2796  0.5197
Ho  0.7317  0.7203  0.9760
Ho  0.2683  0.2797  0.0240
Ho  0.7401  0.7204  0.4803
Ho  0.7557  0.2797  0.5114
Ho  0.7557  0.2797  0.0240
Ge  0.5000  0.5000  0.0000
Ge  0.5000  0.5000  0.5000
Ge  0.0000  0.5000  0.5000
Te  0.5000  0.0000  0.0000
Te  0.5000  0.0000  0.5000
Te  0.0000  0.0000  0.0000
Te  0.0000  0.0000  0.5000
Se  0.0000  0.5000  0.0000

No. 14
VASP calculation (PBE-GGA) on an optimized crystal structure of La2YAl.

For the density of states at the Fermi level, the calculation gives 6.097 states/eV per cell. The calculation puts the energy relative to the elements at -0.067 eV/atom. As for the magnetization: 0.0 μB per cell.

Cell lengths 5.9519, 5.9519, 3.6260 Å; angles 90.00, 90.00, 109.31 degrees
Fractional positions:
Y  0.5000  0.0000  0.5000
Al  0.0000  0.5000  0.5000
La  0.0000  0.0000  0.0000
La  0.5000  0.5000  0.0000

No. 15
VASP calculation (PBE-GGA) on an optimized crystal structure of SrLi2Br.

For the density of states at the Fermi level, the calculation gives 2.436 states/eV per cell. For the distance to the lowest polymorph of the same formula, the calculation gives 10.98 kJ per mole of atoms. Its raw formation energy is -2.0 eV per formula unit. As for the magnetization: 0.0 μB per cell.

Cell lengths 6.4517, 6.4517, 6.4517 Å; angles 144.80, 118.65, 72.75 degrees
Fractional positions:
Br  0.2176  0.7176  0.5000
Li  0.0507  0.0507  0.0000
Li  0.7743  0.2743  0.5000
Sr  0.4574  0.4574  0.0000

No. 16
VASP calculation (PBE-GGA) on an optimized crystal structure of Pr2Dy3Ir2.

For the density of states at the Fermi level, the calculation gives 7.528 states/eV per cell. The calculation puts the energy relative to the elements at -0.576 eV/atom. As for the magnetization: 0.0 μB per cell.

Cell lengths 3.8451, 6.4752, 9.1005 Å; angles 115.73, 90.00, 107.27 degrees
Fractional positions:
Pr  0.8345  0.6691  0.1943
Pr  0.1655  0.3309  0.8057
Dy  0.5000  0.0000  0.0000
Dy  0.6206  0.2411  0.4304
Dy  0.3794  0.7589  0.5696
Ir  0.8288  0.6575  0.7580
Ir  0.1712  0.3425  0.2420

No. 17
VASP calculation (PBE-GGA) on an optimized crystal structure of CePuSb.

For the density of states at the Fermi level, the calculation gives 11.392 states/eV per cell. For the distance to the lowest polymorph of the same formula, the calculation gives 27.40 kJ per mole of atoms. Its raw formation energy is -1.0 eV per formula unit. As for the magnetization: 0.0 μB per cell.

Cell lengths 3.5410, 6.1601, 7.2720 Å; angles 75.43, 90.00, 90.00 degrees
Fractional positions:
Sb  0.7500  0.6441  0.7568
Sb  0.2500  0.3559  0.2432
Pu  0.7500  0.1256  0.9874
Pu  0.2500  0.8744  0.0126
Ce  0.7500  0.1931  0.6254
Ce  0.2500  0.8069  0.3746

No. 18
VASP calculation (PBE-GGA) on an optimized crystal structure of Mn4InRh.

For the density of states at the Fermi level, the calculation gives 8.864 states/eV per cell. The calculation puts the energy relative to the elements at 0.183 eV/atom. As for the magnetization: 6.3 μB per cell.

Cell lengths 4.8323, 4.8323, 4.8323 Å; angles 60.00, 60.00, 60.00 degrees
Site moments in Bohr magnetons follow the coordinates.
Fractional positions:
Mn  0.8725  0.3758  0.3758  1.46
Mn  0.3758  0.3758  0.8725  1.46
Mn  0.3758  0.8725  0.3758  1.46
Mn  0.3758  0.3758  0.3758  1.46
In  0.0000  0.0000  0.0000  -0.06
Rh  0.7500  0.7500  0.7500  0.36

No. 19
VASP calculation (PBE-GGA) on an optimized crystal structure of NbPdPt2.

For the density of states at the Fermi level, the calculation gives 6.927 states/eV per cell. The calculation puts the energy relative to the elements at -0.212 eV/atom. As for the magnetization: 0.0 μB per cell.

Cell lengths 2.7815, 4.6945, 10.6247 Å; angles 90.00, 97.52, 90.00 degrees
Fractional positions:
Nb  0.7049  0.7500  0.4098
Nb  0.2951  0.2500  0.5902
Pd  0.9671  0.7500  0.9343
Pd  0.0329  0.2500  0.0657
Pt  0.8301  0.7500  0.6603
Pt  0.0951  0.7500  0.1902
Pt  0.1699  0.2500  0.3397
Pt  0.9049  0.2500  0.8098

No. 20
VASP calculation (PBE-GGA) on an optimized crystal structure of PmCdCu.

For the density of states at the Fermi level, the calculation gives 4.502 states/eV per cell. The calculation puts the energy relative to the elements at -0.249 eV/atom. For the distance to the lowest polymorph of the same formula, the calculation gives 2.76 kJ per mole of atoms. As for the magnetization: 0.0 μB per cell.

Cell lengths 4.2346, 5.2710, 6.5878 Å; angles 100.42, 108.75, 90.00 degrees
Fractional positions:
Pm  0.1265  0.3061  0.2529
Pm  0.8735  0.6939  0.7471
Cd  0.4209  0.2202  0.8418
Cd  0.5791  0.7798  0.1582
Cu  0.2271  0.8582  0.4542
Cu  0.7729  0.1418  0.5458